Record 1
# TiTlCu PBE optimized geometry
# Energy (eV per atom): -4.6103
# Size of the total moment (μB per cell): 0.000
data_TiTlCu
_space_group_name_H-M_alt 'P 63/m m c'
_space_group_IT_number 194
_space_group_name_Hall '-P 6c 2c'
_cell_length_a 4.4964
_cell_length_b 4.4964
_cell_length_c 6.0230
_cell_angle_alpha 90.00
_cell_angle_beta 90.00
_cell_angle_gamma 120.00
loop_
_atom_site_label
_atom_site_type_symbol
_atom_site_fract_x
_atom_site_fract_y
_atom_site_fract_z
Ti1 Ti 0.3333 0.6667 0.2500
Tl1 Tl 0.0000 0.0000 0.0000
Cu1 Cu 0.3333 0.6667 0.7500

Record 2
# TiTl2Cu PBE optimized geometry
# Energy (eV per atom): -3.8077
# Energy above the lowest structure with this stoichiometry (eV/atom): 0.0000
# Size of the total moment (μB per cell): 4.106
data_TiTl2Cu
_space_group_name_H-M_alt 'F m -3 m'
_space_group_IT_number 225
_space_group_name_Hall '-F 4 2 3'
_cell_length_a 6.8560
_cell_length_b 6.8560
_cell_length_c 6.8560
_cell_angle_alpha 90.00
_cell_angle_beta 90.00
_cell_angle_gamma 90.00
loop_
_atom_site_label
_atom_site_type_symbol
_atom_site_fract_x
_atom_site_fract_y
_atom_site_fract_z
Ti1 Ti 0.0000 0.0000 0.0000
Tl1 Tl 0.2500 0.2500 0.2500
Cu1 Cu 0.0000 0.0000 0.5000

What did the first record say?
# TiTlCu PBE optimized geometry
# Energy (eV per atom): -4.6103
# Size of the total moment (μB per cell): 0.000
data_TiTlCu
_space_group_name_H-M_alt 'P 63/m m c'
_space_group_IT_number 194
_space_group_name_Hall '-P 6c 2c'
_cell_length_a 4.4964
_cell_length_b 4.4964
_cell_length_c 6.0230
_cell_angle_alpha 90.00
_cell_angle_beta 90.00
_cell_angle_gamma 120.00
loop_
_atom_site_label
_atom_site_type_symbol
_atom_site_fract_x
_atom_site_fract_y
_atom_site_fract_z
Ti1 Ti 0.3333 0.6667 0.2500
Tl1 Tl 0.0000 0.0000 0.0000
Cu1 Cu 0.3333 0.6667 0.7500

Q: size of the total moment of number 1 (TiTlCu)?
A: 0.000 μB per cell